# 1
La4Ni3Pd (GGA-PBE, optimized geometry); Fermi-level density of states = 6.29 states/eV/f.u.; crystal system = orthorhombic; ΔH_f (0 K) = -446 meV per atom
1.0
3.904 0.000 0.000
0.000 4.490 0.000
0.000 0.000 10.856
Ni Pd La
3 1 4
Direct
0.000 0.500 0.576
0.000 0.000 0.428
0.500 0.000 0.915
0.500 0.500 0.080
0.500 0.500 0.374
0.000 0.500 0.857
0.000 0.000 0.135
0.500 0.000 0.636



# 2
LaNiPd (GGA-PBE, optimized geometry); Fermi-level density of states = 1.44 states/eV/f.u.; crystal system = monoclinic; ΔH_f (0 K) = -353 meV per atom
1.0
4.987 0.182 -0.606
-2.001 4.572 0.606
-2.813 -1.547 5.264
La Pd Ni
2 2 2
Direct
0.221 0.635 0.855
0.779 0.365 0.145
0.000 0.000 0.500
0.500 0.500 0.500
0.275 0.967 0.242
0.725 0.033 0.758



# 3
La6NiPd2 (GGA-PBE, optimized geometry); Fermi-level density of states = 10.92 states/eV/f.u.; crystal system = monoclinic; ΔH_f (0 K) = -425 meV per atom
1.0
6.848 0.000 0.080
0.000 7.568 0.000
0.476 0.000 10.588
La Ni Pd
12 2 4
Direct
0.151 0.040 0.244
0.168 0.326 0.569
0.174 0.317 0.934
0.326 0.817 0.566
0.332 0.826 0.931
0.349 0.540 0.256
0.849 0.960 0.756
0.832 0.674 0.431
0.826 0.683 0.066
0.674 0.183 0.434
0.668 0.174 0.069
0.651 0.460 0.744
0.500 0.500 0.000
0.000 0.000 0.500
0.061 0.615 0.769
0.439 0.115 0.731
0.561 0.885 0.269
0.939 0.385 0.231



# 4
La4NiPd (GGA-PBE, optimized geometry); Fermi-level density of states = 6.89 states/eV/f.u.; crystal system = monoclinic; ΔH_f (0 K) = -321 meV per atom
1.0
7.105 -0.400 0.000
-1.650 7.003 0.000
-2.727 -3.301 7.583
La Ni Pd
8 2 2
Direct
0.280 0.000 0.575
0.041 0.800 0.090
0.205 0.424 0.425
0.450 0.709 0.910
0.720 0.000 0.425
0.795 0.576 0.575
0.959 0.200 0.910
0.550 0.291 0.090
0.835 0.085 0.170
0.165 0.915 0.830
0.349 0.599 0.198
0.651 0.401 0.802



# 5
La2Ni15Pd2 (GGA-PBE, optimized geometry); Fermi-level density of states = 25.16 states/eV/f.u.; crystal system = trigonal; ΔH_f (0 K) = -180 meV per atom
1.0
6.400 -0.053 -0.047
0.778 6.353 -0.047
0.778 0.683 6.316
La Ni Pd
2 15 2
Direct
0.344 0.344 0.344
0.656 0.656 0.656
0.500 0.000 0.000
0.000 0.000 0.500
0.000 0.500 0.000
0.000 0.707 0.293
0.707 0.293 0.000
0.293 0.000 0.707
0.293 0.707 0.000
0.707 0.000 0.293
0.000 0.293 0.707
0.157 0.654 0.654
0.654 0.654 0.157
0.654 0.157 0.654
0.843 0.346 0.346
0.346 0.346 0.843
0.346 0.843 0.346
0.106 0.106 0.106
0.894 0.894 0.894



# 6
La2NiPd2 (GGA-PBE, optimized geometry); Fermi-level density of states = 3.73 states/eV/f.u.; crystal system = monoclinic; ΔH_f (0 K) = -650 meV per atom
1.0
4.019 0.000 0.763
1.900 5.523 0.958
0.120 -1.065 10.333
La Ni Pd
4 2 4
Direct
0.694 0.251 0.360
0.917 0.276 0.890
0.306 0.749 0.640
0.083 0.724 0.110
0.587 0.132 0.693
0.413 0.868 0.307
0.048 0.317 0.587
0.644 0.825 0.888
0.952 0.683 0.413
0.356 0.175 0.112



# 7
La4NiPd (GGA-PBE, optimized geometry); Fermi-level density of states = 7.81 states/eV/f.u.; crystal system = tetragonal; ΔH_f (0 K) = -344 meV per atom
1.0
-3.655 -4.471 3.110
-0.928 -3.543 -6.184
5.895 -3.887 1.342
La Ni Pd
8 2 2
Direct
0.000 0.187 0.674
0.000 0.813 0.326
0.000 0.326 0.187
0.000 0.674 0.813
0.500 0.813 0.674
0.500 0.187 0.326
0.500 0.674 0.187
0.500 0.326 0.813
0.250 0.500 0.500
0.750 0.500 0.500
0.250 0.000 0.000
0.750 0.000 0.000



# 8
La4Ni2Pd5 (GGA-PBE, optimized geometry); Fermi-level density of states = 7.36 states/eV/f.u.; crystal system = monoclinic; ΔH_f (0 K) = -692 meV per atom
1.0
-3.306 -2.230 -0.486
3.542 -4.289 -4.424
2.051 -4.530 6.833
La Ni Pd
4 2 5
Direct
0.500 0.751 0.605
0.500 0.230 0.872
0.500 0.249 0.395
0.500 0.770 0.128
0.000 0.080 0.627
0.000 0.920 0.373
0.000 0.549 0.333
0.000 0.145 0.136
0.000 0.500 0.000
0.000 0.855 0.864
0.000 0.451 0.667